No. 1
# GGA-PBE SrPaNiN3, relaxed
# Raw formation energy: -0.9104 eV/atom
# Fermi-level density of states: 7.059 states/eV per cell
data_SrPaNiN3
_chemical_formula_sum 'Sr2 Pa2 Ni2 N6'
_cell_length_a 7.391
_cell_length_b 3.563
_cell_length_c 7.456
_cell_angle_alpha 90.00
_cell_angle_beta 100.76
_cell_angle_gamma 90.00
_symmetry_space_group_name_H-M 'P 1 21/m 1'
_symmetry_Int_Tables_number 11
_symmetry_space_group_name_Hall '-P 2yb'
loop_
_atom_site_label
_atom_site_type_symbol
_atom_site_fract_x
_atom_site_fract_y
_atom_site_fract_z
_atom_site_occupancy
Sr1 Sr 0.180 0.250 0.215 1
Pa1 Pa 0.338 0.750 0.831 1
Ni1 Ni 0.070 0.250 0.592 1
N1 N 0.154 0.250 0.862 1
N2 N 0.173 0.750 0.528 1
N3 N 0.447 0.750 0.140 1



No. 2
# GGA-PBE SrPaNiN2, relaxed
# Raw formation energy: -0.7745 eV/atom
# Fermi-level density of states: 5.445 states/eV per cell
data_SrPaNiN2
_chemical_formula_sum 'Sr2 Pa2 Ni2 N4'
_cell_length_a 5.917
_cell_length_b 4.392
_cell_length_c 6.951
_cell_angle_alpha 90.00
_cell_angle_beta 103.46
_cell_angle_gamma 90.00
_symmetry_space_group_name_H-M 'P 1 2/c 1'
_symmetry_Int_Tables_number 13
_symmetry_space_group_name_Hall '-P 2yc'
loop_
_atom_site_label
_atom_site_type_symbol
_atom_site_fract_x
_atom_site_fract_y
_atom_site_fract_z
_atom_site_occupancy
Sr1 Sr 0.000 0.140 0.250 1
Pa1 Pa 0.500 0.472 0.750 1
Ni1 Ni 0.500 0.000 0.000 1
N1 N 0.274 0.336 0.964 1



No. 3
# GGA-PBE Pa2TaNiN5, relaxed
# Raw formation energy: -1.1271 eV/atom
# Fermi-level density of states: 17.801 states/eV per cell
data_Pa2TaNiN5
_chemical_formula_sum 'Pa8 Ta4 Ni4 N20'
_cell_length_a 3.221
_cell_length_b 13.152
_cell_length_c 10.108
_cell_angle_alpha 90.00
_cell_angle_beta 90.00
_cell_angle_gamma 90.00
_symmetry_space_group_name_H-M 'C m c 21'
_symmetry_Int_Tables_number 36
_symmetry_space_group_name_Hall 'C 2c -2'
loop_
_atom_site_label
_atom_site_type_symbol
_atom_site_fract_x
_atom_site_fract_y
_atom_site_fract_z
_atom_site_occupancy
Pa1 Pa 0.000 0.116 0.000 1
Pa2 Pa 0.000 0.132 0.622 1
Ta1 Ta 0.000 0.188 0.319 1
Ni1 Ni 0.000 0.492 0.798 1
N1 N 0.000 0.044 0.394 1
N2 N 0.000 0.292 0.968 1
N3 N 0.000 0.304 0.669 1
N4 N 0.000 0.351 0.320 1
N5 N 0.000 0.495 0.103 1



No. 4
# GGA-PBE TbPa2NiN5, relaxed
# Raw formation energy: -1.0758 eV/atom
# Fermi-level density of states: 5.398 states/eV per cell
data_TbPa2NiN5
_chemical_formula_sum 'Tb4 Pa8 Ni4 N20'
_cell_length_a 3.434
_cell_length_b 13.523
_cell_length_c 10.061
_cell_angle_alpha 90.00
_cell_angle_beta 90.00
_cell_angle_gamma 90.00
_symmetry_space_group_name_H-M 'C m c 21'
_symmetry_Int_Tables_number 36
_symmetry_space_group_name_Hall 'C 2c -2'
loop_
_atom_site_label
_atom_site_type_symbol
_atom_site_fract_x
_atom_site_fract_y
_atom_site_fract_z
_atom_site_occupancy
Tb1 Tb 0.000 0.200 0.000 1
Pa1 Pa 0.000 0.100 0.686 1
Pa2 Pa 0.000 0.132 0.300 1
Ni1 Ni 0.000 0.481 0.466 1
N1 N 0.000 0.049 0.093 1
N2 N 0.000 0.280 0.698 1
N3 N 0.000 0.348 0.362 1
N4 N 0.000 0.375 0.016 1
N5 N 0.000 0.481 0.785 1



No. 5
# GGA-PBE TbPa2NiN4, relaxed
# Raw formation energy: -1.3411 eV/atom
# Fermi-level density of states: 10.390 states/eV per cell
data_TbPa2NiN4
_chemical_formula_sum 'Tb4 Pa8 Ni4 N16'
_cell_length_a 3.451
_cell_length_b 11.354
_cell_length_c 11.446
_cell_angle_alpha 90.00
_cell_angle_beta 90.00
_cell_angle_gamma 90.00
_symmetry_space_group_name_H-M 'C m c m'
_symmetry_Int_Tables_number 63
_symmetry_space_group_name_Hall '-C 2c 2'
loop_
_atom_site_label
_atom_site_type_symbol
_atom_site_fract_x
_atom_site_fract_y
_atom_site_fract_z
_atom_site_occupancy
Tb1 Tb 0.000 0.106 0.250 1
Pa1 Pa 0.000 0.369 0.062 1
Ni1 Ni 0.000 0.164 0.750 1
N1 N 0.000 0.000 0.000 1
N2 N 0.000 0.274 0.615 1
N3 N 0.000 0.452 0.250 1



No. 6
# GGA-PBE ThPa2NiN4, relaxed
# Raw formation energy: -1.3475 eV/atom
# Fermi-level density of states: 18.682 states/eV per cell
data_ThPa2NiN4
_chemical_formula_sum 'Th4 Pa8 Ni4 N16'
_cell_length_a 3.497
_cell_length_b 11.459
_cell_length_c 11.448
_cell_angle_alpha 90.00
_cell_angle_beta 90.00
_cell_angle_gamma 90.00
_symmetry_space_group_name_H-M 'C m c m'
_symmetry_Int_Tables_number 63
_symmetry_space_group_name_Hall '-C 2c 2'
loop_
_atom_site_label
_atom_site_type_symbol
_atom_site_fract_x
_atom_site_fract_y
_atom_site_fract_z
_atom_site_occupancy
Th1 Th 0.000 0.108 0.250 1
Pa1 Pa 0.000 0.369 0.059 1
Ni1 Ni 0.000 0.164 0.750 1
N1 N 0.000 0.000 0.000 1
N2 N 0.000 0.274 0.617 1
N3 N 0.000 0.449 0.250 1



No. 7
# GGA-PBE ThPaNiN4, relaxed
# Raw formation energy: -1.0147 eV/atom
# Fermi-level density of states: 4.588 states/eV per cell
data_ThPaNiN4
_chemical_formula_sum 'Th2 Pa2 Ni2 N8'
_cell_length_a 3.742
_cell_length_b 3.742
_cell_length_c 12.537
_cell_angle_alpha 90.00
_cell_angle_beta 90.00
_cell_angle_gamma 90.00
_symmetry_space_group_name_H-M 'I 4 m m'
_symmetry_Int_Tables_number 107
_symmetry_space_group_name_Hall 'I 4 -2'
loop_
_atom_site_label
_atom_site_type_symbol
_atom_site_fract_x
_atom_site_fract_y
_atom_site_fract_z
_atom_site_occupancy
Th1 Th 0.000 0.000 0.000 1
Pa1 Pa 0.000 0.000 0.726 1
Ni1 Ni 0.000 0.000 0.340 1
N1 N 0.000 0.000 0.185 1
N2 N 0.000 0.000 0.552 1
N3 N 0.000 0.500 0.355 1



No. 8
# GGA-PBE TmPa2NiN5, relaxed
# Raw formation energy: -1.1272 eV/atom
# Fermi-level density of states: 9.621 states/eV per cell
data_TmPa2NiN5
_chemical_formula_sum 'Tm4 Pa8 Ni4 N20'
_cell_length_a 3.396
_cell_length_b 13.192
_cell_length_c 10.131
_cell_angle_alpha 90.00
_cell_angle_beta 90.00
_cell_angle_gamma 90.00
_symmetry_space_group_name_H-M 'C m c 21'
_symmetry_Int_Tables_number 36
_symmetry_space_group_name_Hall 'C 2c -2'
loop_
_atom_site_label
_atom_site_type_symbol
_atom_site_fract_x
_atom_site_fract_y
_atom_site_fract_z
_atom_site_occupancy
Tm1 Tm 0.000 0.198 0.000 1
Pa1 Pa 0.000 0.104 0.681 1
Pa2 Pa 0.000 0.137 0.298 1
Ni1 Ni 0.000 0.481 0.456 1
N1 N 0.000 0.044 0.080 1
N2 N 0.000 0.280 0.676 1
N3 N 0.000 0.335 0.357 1
N4 N 0.000 0.371 0.997 1
N5 N 0.000 0.483 0.775 1



No. 9
# GGA-PBE UPaNiN3, relaxed
# Raw formation energy: -1.0230 eV/atom
# Fermi-level density of states: 10.156 states/eV per cell
data_UPaNiN3
_chemical_formula_sum 'U2 Pa2 Ni2 N6'
_cell_length_a 6.934
_cell_length_b 3.358
_cell_length_c 7.123
_cell_angle_alpha 90.00
_cell_angle_beta 99.97
_cell_angle_gamma 90.00
_symmetry_space_group_name_H-M 'P 1 21/m 1'
_symmetry_Int_Tables_number 11
_symmetry_space_group_name_Hall '-P 2yb'
loop_
_atom_site_label
_atom_site_type_symbol
_atom_site_fract_x
_atom_site_fract_y
_atom_site_fract_z
_atom_site_occupancy
U1 U 0.192 0.250 0.153 1
Pa1 Pa 0.209 0.250 0.665 1
Ni1 Ni 0.407 0.750 0.398 1
N1 N 0.124 0.750 0.387 1
N2 N 0.138 0.750 0.908 1
N3 N 0.476 0.750 0.705 1



No. 10
# GGA-PBE Pa2VNiN5, relaxed
# Raw formation energy: -1.0356 eV/atom
# Fermi-level density of states: 20.957 states/eV per cell
data_Pa2VNiN5
_chemical_formula_sum 'Pa8 V4 Ni4 N20'
_cell_length_a 3.250
_cell_length_b 12.842
_cell_length_c 9.867
_cell_angle_alpha 90.00
_cell_angle_beta 90.00
_cell_angle_gamma 90.00
_symmetry_space_group_name_H-M 'C m c 21'
_symmetry_Int_Tables_number 36
_symmetry_space_group_name_Hall 'C 2c -2'
loop_
_atom_site_label
_atom_site_type_symbol
_atom_site_fract_x
_atom_site_fract_y
_atom_site_fract_z
_atom_site_occupancy
Pa1 Pa 0.000 0.108 0.000 1
Pa2 Pa 0.000 0.143 0.628 1
V1 V 0.000 0.194 0.331 1
Ni1 Ni 0.000 0.463 0.772 1
N1 N 0.000 0.058 0.386 1
N2 N 0.000 0.283 0.978 1
N3 N 0.000 0.315 0.692 1
N4 N 0.000 0.361 0.319 1
N5 N 0.000 0.490 0.087 1



No. 11
# GGA-PBE YPa2NiN4, relaxed
# Raw formation energy: -1.3317 eV/atom
# Fermi-level density of states: 10.339 states/eV per cell
data_YPa2NiN4
_chemical_formula_sum 'Y4 Pa8 Ni4 N16'
_cell_length_a 3.449
_cell_length_b 11.348
_cell_length_c 11.452
_cell_angle_alpha 90.00
_cell_angle_beta 90.00
_cell_angle_gamma 90.00
_symmetry_space_group_name_H-M 'C m c m'
_symmetry_Int_Tables_number 63
_symmetry_space_group_name_Hall '-C 2c 2'
loop_
_atom_site_label
_atom_site_type_symbol
_atom_site_fract_x
_atom_site_fract_y
_atom_site_fract_z
_atom_site_occupancy
Y1 Y 0.000 0.106 0.250 1
Pa1 Pa 0.000 0.369 0.062 1
Ni1 Ni 0.000 0.164 0.750 1
N1 N 0.000 0.000 0.000 1
N2 N 0.000 0.274 0.615 1
N3 N 0.000 0.453 0.250 1



No. 12
# GGA-PBE YPa2NiN5, relaxed
# Raw formation energy: -1.0786 eV/atom
# Fermi-level density of states: 6.938 states/eV per cell
data_YPa2NiN5
_chemical_formula_sum 'Y4 Pa8 Ni4 N20'
_cell_length_a 3.425
_cell_length_b 13.440
_cell_length_c 10.084
_cell_angle_alpha 90.00
_cell_angle_beta 90.00
_cell_angle_gamma 90.00
_symmetry_space_group_name_H-M 'C m c 21'
_symmetry_Int_Tables_number 36
_symmetry_space_group_name_Hall 'C 2c -2'
loop_
_atom_site_label
_atom_site_type_symbol
_atom_site_fract_x
_atom_site_fract_y
_atom_site_fract_z
_atom_site_occupancy
Y1 Y 0.000 0.199 0.000 1
Pa1 Pa 0.000 0.102 0.684 1
Pa2 Pa 0.000 0.133 0.299 1
Ni1 Ni 0.000 0.481 0.462 1
N1 N 0.000 0.047 0.089 1
N2 N 0.000 0.280 0.691 1
N3 N 0.000 0.345 0.359 1
N4 N 0.000 0.374 0.010 1
N5 N 0.000 0.482 0.782 1